DFT (PBE+U) results for an optimized crystal structure of LiTiMo2O6.

```
LiTiMo2O6
1.0
4.996 0.000 0.000
0.000 4.970 0.000
0.000 0.000 4.970
Li Ti Mo O
1 1 2 6
Cartesian
2.769 2.485 2.485 Li
2.901 0.000 0.000 Ti
4.846 2.485 0.000 Mo
4.846 0.000 2.485 Mo
3.722 1.228 1.228 O
3.722 1.228 3.742 O
0.877 2.485 2.485 O
1.081 0.000 0.000 O
3.722 3.742 3.742 O
3.722 3.742 1.228 O
```

Calculated values
- Final energy: -7.0206 eV per atom
- Theoretical density: 4.61 Mg/m³